No. 1
LaAsSe2O | PBE | relaxed

Cell: 5.7656 5.7656 6.1288 Å, 90.00 90.00 90.00°
With the nearest neighbours (Å) after each atom.
Atoms (fractional coordinates):
Se 0.5000 0.0000 0.0000  2 La 2.88
O 0.5000 0.5000 0.5000  4 As 4.08, 8 Se 4.21
La 0.0000 0.0000 0.0000  4 Se 2.88, 2 As 3.06
As 0.0000 0.0000 0.5000  2 La 3.06
Se 0.0000 0.5000 0.0000  2 La 2.88

energy above the most stable polymorph in this dataset	1022	kJ/mol of formula units
E_form (uncorrected)	12.6	kcal/mol of atoms

---

No. 2
La4AsSe2O | PBE | relaxed

Cell: 4.1628 7.1805 7.3571 Å, 109.02 90.00 90.00°
With the nearest neighbours (Å) after each atom.
Atoms (fractional coordinates):
Se 0.0000 0.5000 0.5000  6 La 3.00
La 0.5000 0.7335 0.7738  1 O 2.72, 2 As 2.95, 2 Se 3.00
La 0.0000 0.2785 0.7826  2 O 2.79, 1 As 2.94, 1 Se 3.00
La 0.5000 0.2665 0.2262  1 O 2.72, 2 As 2.95, 2 Se 3.00
La 0.0000 0.7215 0.2174  2 O 2.79, 1 As 2.94, 1 Se 3.00
As 0.0000 0.0000 0.0000  6 La 2.94-2.95
Se 0.5000 0.0000 0.5000  6 La 3.15-3.20
O 0.5000 0.5000 0.0000  6 La 2.72-2.79

E_form (uncorrected)	-46.3	kcal/mol of atoms

---

No. 3
LaAs2SeO | PBE | relaxed

Cell: 4.4266 4.4266 5.0152 Å, 90.00 90.00 90.00°
With the nearest neighbours (Å) after each atom.
Atoms (fractional coordinates):
Se 0.0000 0.0000 0.5000  2 O 2.51
La 0.5000 0.5000 0.5000  4 Se 3.13, 8 As 3.34
O 0.0000 0.0000 0.0000  4 As 2.21
As 0.0000 0.5000 0.0000  2 O 2.21
As 0.5000 0.0000 0.0000  2 O 2.21

energy above the most stable polymorph in this dataset	0	kJ/mol of formula units
E_form (uncorrected)	-15.2	kcal/mol of atoms

---

No. 4
LaAs2SeO | PBE | relaxed

Cell: 5.8568 5.8568 5.6173 Å, 90.00 90.00 90.00°
With the nearest neighbours (Å) after each atom.
Atoms (fractional coordinates):
Se 0.0000 0.0000 0.5000  2 La 2.81
O 0.5000 0.5000 0.5000  8 As 4.06, 4 Se 4.14
As 0.0000 0.5000 0.0000  2 La 2.93
As 0.5000 0.0000 0.0000  2 La 2.93
La 0.0000 0.0000 0.0000  2 Se 2.81, 4 As 2.93

energy above the most stable polymorph in this dataset	809	kJ/mol of formula units
E_form (uncorrected)	23.4	kcal/mol of atoms

---

No. 5
LaSmAs2O8 | PBE | relaxed

Cell: 5.1815 5.1815 6.9375 Å, 111.93 111.93 90.00°
With the nearest neighbours (Å) after each atom.
Atoms (fractional coordinates):
As 0.5000 0.5000 0.0000  4 O 1.73
O 0.5771 0.6961 0.6578  1 As 1.73
O 0.0383 0.4229 0.3422  1 As 1.73
O 0.6714 0.2814 0.8482  1 As 1.73
O 0.0807 0.9617 0.6578  1 As 1.73
As 0.2500 0.7500 0.5000  4 O 1.73
O 0.3039 0.9193 0.3422  1 As 1.73
La 0.7500 0.2500 0.5000  8 O 2.49-2.54
O 0.7186 0.8232 0.1518  1 As 1.73
O 0.4332 0.3286 0.1518  1 As 1.73
O 0.1768 0.5668 0.8482  1 As 1.73
Sm 0.0000 0.0000 0.0000  8 O 2.44-2.50

E_form (uncorrected)	-54.0	kcal/mol of atoms

---

No. 6
SrLaAs2O8 | PBE | relaxed

Cell: 5.2792 5.2792 7.1138 Å, 111.78 111.78 90.00°
With the nearest neighbours (Å) after each atom.
Atoms (fractional coordinates):
O 0.4573 0.3331 0.1567  1 As 1.73
O 0.0437 0.4300 0.3519  1 As 1.73
As 0.2500 0.7500 0.5000  4 O 1.73
O 0.6669 0.3006 0.8433  1 As 1.73
O 0.5700 0.6918 0.6481  1 As 1.73
As 0.5000 0.5000 0.0000  4 O 1.73
O 0.6994 0.8236 0.1567  1 As 1.73
Sr 0.0000 0.0000 0.0000  8 O 2.59-2.61
La 0.7500 0.2500 0.5000  8 O 2.52-2.56
O 0.1764 0.5427 0.8433  1 As 1.73
O 0.0781 0.9563 0.6481  1 As 1.73
O 0.3082 0.9219 0.3519  1 As 1.73

E_form (uncorrected)	-47.2	kcal/mol of atoms